Cs8I3BrCl4: optimized geometry, GGA-PBE.

Cell lengths 10.3808, 10.5647, 10.3741 Å; angles 119.37, 120.02, 90.00 degrees
Element x y z (fractional)
Cs1 0.2530 0.7713 0.0186
Cs2 0.2532 0.7715 0.5064
Cs3 0.2398 0.2201 0.4797
Cs4 0.7656 0.7713 0.0186
Cs5 0.2344 0.2287 0.9814
Cs6 0.7602 0.7799 0.5203
Cs7 0.7468 0.2285 0.4936
Cs8 0.7470 0.2287 0.9814
I1 0.5000 0.5000 0.0000
I2 0.5000 0.5000 0.5000
I3 0.0000 0.5000 0.5000
Br1 0.0000 0.5000 0.0000
Cl1 0.5000 0.0000 0.0000
Cl2 0.5000 0.0000 0.5000
Cl3 0.0000 0.0000 0.0000
Cl4 0.0000 0.0000 0.5000

Total magnetic moment: 0.12 μB per cell
Calculated density: 3.41 g/cm3
Formation energy (no corrections): -1.781 eV per atom


ZrIr2Cl: optimized geometry, GGA-PBE.

Cell lengths 5.0858, 5.0858, 7.5722 Å; angles 70.38, 70.38, 90.00 degrees
Element x y z (fractional)
Ir1 0.5477 0.1250 0.2500
Ir2 0.2023 0.6250 0.2500
Ir3 0.3750 0.4523 0.7500
Ir4 0.8750 0.7977 0.7500
Zr1 0.0000 0.0000 0.0000
Zr2 0.7500 0.2500 0.5000
Cl1 0.5000 0.5000 0.0000
Cl2 0.2500 0.7500 0.5000

Total magnetic moment: 0.00 μB per cell
Polymorph energy (0 for the lowest one): 0.836 eV/atom
Calculated density: 9.85 g/cm3
Formation energy (no corrections): 0.526 eV per atom


ZnTeS3: optimized geometry, GGA-PBE.

Cell lengths 4.6568, 4.6568, 4.6568 Å; angles 90.00, 90.00, 90.00 degrees
Element x y z (fractional)
Zn1 0.0000 0.0000 0.0000
Te1 0.5000 0.5000 0.5000
S1 0.0000 0.5000 0.0000
S2 0.0000 0.0000 0.5000
S3 0.5000 0.0000 0.0000

Total magnetic moment: 0.00 μB per cell
Calculated density: 4.76 g/cm3
Formation energy (no corrections): 0.470 eV per atom


Dy2PuZr: optimized geometry, GGA-PBE.

Cell lengths 3.3694, 3.3694, 9.8399 Å; angles 90.00, 90.00, 90.00 degrees
Last column: magnetic moment on the atom in μB.
Element x y z (fractional)
Dy1 0.0000 0.0000 0.7646  -0.10
Dy2 0.0000 0.0000 0.2354  -0.10
Zr1 0.5000 0.5000 0.0000  0.00
Pu1 0.5000 0.5000 0.5000  -5.63

Total magnetic moment: 6.31 μB per cell
Polymorph energy (0 for the lowest one): 0.000 eV/atom
ΔE_f: 0.133 eV per atom
Calculated density: 9.81 g/cm3


Pr3Pd6Pt2: optimized geometry, GGA-PBE.

Cell lengths 8.3889, 8.3889, 8.3889 Å; angles 109.47, 109.47, 109.47 degrees
Element x y z (fractional)
Pr1 0.7074 0.0000 0.7074
Pr2 0.2926 0.0000 0.2926
Pr3 0.0000 0.2926 0.2926
Pr4 0.0000 0.7074 0.7074
Pr5 0.2926 0.2926 0.0000
Pr6 0.7074 0.7074 0.0000
Pd1 0.6619 0.3237 0.6619
Pd2 0.6619 0.0000 0.3381
Pd3 0.3381 0.0000 0.6619
Pd4 0.3381 0.6763 0.3381
Pd5 0.0000 0.6619 0.3381
Pd6 0.6763 0.3381 0.3381
Pd7 0.3237 0.6619 0.6619
Pd8 0.0000 0.3381 0.6619
Pd9 0.3381 0.6619 0.0000
Pd10 0.6619 0.6619 0.3237
Pd11 0.3381 0.3381 0.6763
Pd12 0.6619 0.3381 0.0000
Pt1 0.0000 0.5000 0.0000
Pt2 0.5000 0.0000 0.0000
Pt3 0.0000 0.0000 0.5000
Pt4 0.5000 0.5000 0.5000

Total magnetic moment: 0.00 μB per cell
ΔE_f: -0.700 eV per atom
Calculated density: 10.61 g/cm3


UMn4Mo: optimized geometry, GGA-PBE.

Cell lengths 4.8903, 4.8903, 4.8903 Å; angles 60.00, 60.00, 60.00 degrees
Last column: magnetic moment on the atom in μB.
Element x y z (fractional)
Mo1 0.0000 0.0000 0.0000  -0.41
Mn1 0.6252 0.6252 0.1245  1.17
Mn2 0.6252 0.1245 0.6252  1.17
Mn3 0.6252 0.6252 0.6252  1.17
Mn4 0.1245 0.6252 0.6252  1.17
U1 0.2500 0.2500 0.2500  0.05

Total magnetic moment: 4.45 μB per cell
ΔE_f: 0.161 eV per atom
Calculated density: 11.12 g/cm3


RbCr2NiAg: optimized geometry, GGA-PBE.

Cell lengths 5.4294, 4.6267, 5.4294 Å; angles 90.00, 90.00, 90.00 degrees
Last column: magnetic moment on the atom in μB.
Element x y z (fractional)
Ni1 0.0000 0.5000 0.0000  0.18
Rb1 0.0000 0.0000 0.0000  0.13
Ag1 0.5000 0.5000 0.5000  0.00
Cr1 0.0000 0.0000 0.5000  4.16
Cr2 0.5000 0.0000 0.0000  4.24

Total magnetic moment: 9.89 μB per cell
ΔE_f: 2.268 eV per atom
Calculated density: 4.33 g/cm3


AlZnCl2: optimized geometry, GGA-PBE.

Cell lengths 4.9405, 4.9405, 4.9405 Å; angles 60.00, 60.00, 60.00 degrees
Element x y z (fractional)
Zn1 0.7500 0.7500 0.7500
Al1 0.5000 0.5000 0.5000
Cl1 0.0000 0.0000 0.0000
Cl2 0.2500 0.2500 0.2500

Total magnetic moment: 0.00 μB per cell
Polymorph energy (0 for the lowest one): 0.732 eV/atom
Calculated density: 3.18 g/cm3
Formation energy (no corrections): 0.042 eV per atom